Record 1
## K2NiRh (GGA-PBE)

Data for K2NiRh after structural relaxation.

Results
Energy of formation = 0.901 eV/atom
SG = C2/m

Cell lengths 5.9159, 5.9159, 2.9596 Å; angles 90.09, 90.09, 121.92 degrees
Fractional positions:
K1 0.0000 0.5000 0.0000
K2 0.5000 0.0000 0.0000
Ni1 0.0000 0.0000 0.5000
Rh1 0.5000 0.5000 0.5000



Record 2
## MgZnPt2 (GGA-PBE)

Data for MgZnPt2 after structural relaxation.

Results
Energy of formation = -0.569 eV/atom
SG = Imm2

Cell lengths 5.4452, 5.4452, 5.4452 Å; angles 148.15, 132.34, 58.47 degrees
Fractional positions:
Mg1 0.0000 0.0000 0.0000
Zn1 0.7321 0.2321 0.5000
Pt1 0.2486 0.7486 0.5000
Pt2 0.5055 0.5055 0.0000



Record 3
## HfNbRu2 (GGA-PBE)

Data for HfNbRu2 after structural relaxation.

Results
Energy of formation = -0.496 eV/atom
SG = Pmma

Cell lengths 4.5467, 3.1653, 9.1963 Å; angles 90.00, 90.00, 90.00 degrees
Fractional positions:
Hf1 0.2500 0.0000 0.1259
Hf2 0.7500 0.0000 0.8741
Nb1 0.2500 0.0000 0.6178
Nb2 0.7500 0.0000 0.3822
Ru1 0.2500 0.5000 0.3670
Ru2 0.2500 0.5000 0.8723
Ru3 0.7500 0.5000 0.1277
Ru4 0.7500 0.5000 0.6330



Record 4
## NaSnGe3 (GGA-PBE)

Data for NaSnGe3 after structural relaxation.

Results
Energy of formation = 0.858 eV/atom
SG = Pm-3m

Cell lengths 5.0815, 5.0815, 5.0815 Å; angles 90.00, 90.00, 90.00 degrees
Fractional positions:
Na1 0.0000 0.0000 0.0000
Sn1 0.5000 0.5000 0.5000
Ge1 0.0000 0.0000 0.5000
Ge2 0.0000 0.5000 0.0000
Ge3 0.5000 0.0000 0.0000



Record 5
## NaLiFeCl5 (GGA-PBE)

Data for NaLiFeCl5 after structural relaxation.

Results
Formation energy without anion corrections = -1257 meV per atom
SG = C2/c

Cell lengths 7.2745, 7.2745, 8.7986 Å; angles 103.52, 103.52, 99.77 degrees
Fractional positions:
Na1 0.1884 0.8116 0.7500
Na2 0.8116 0.1884 0.2500
Li1 0.5000 0.5000 0.0000
Li2 0.5000 0.5000 0.5000
Fe1 0.1513 0.8487 0.2500
Fe2 0.8487 0.1513 0.7500
Cl1 0.1386 0.2016 0.9233
Cl2 0.1577 0.6269 0.3844
Cl3 0.2016 0.1386 0.4233
Cl4 0.3731 0.8423 0.1156
Cl5 0.4285 0.5715 0.7500
Cl6 0.5715 0.4285 0.2500
Cl7 0.6269 0.1577 0.8844
Cl8 0.7984 0.8614 0.5767
Cl9 0.8423 0.3731 0.6156
Cl10 0.8614 0.7984 0.0767



Record 6
## Pr4GeP2Cl (GGA-PBE)

Data for Pr4GeP2Cl after structural relaxation.

Results
Formation energy without anion corrections = -1431 meV per atom
SG = P2/m

Cell lengths 7.3096, 4.2167, 7.3526 Å; angles 90.00, 108.94, 90.00 degrees
Fractional positions:
Pr1 0.2343 0.0000 0.2305
Pr2 0.2494 0.5000 0.7602
Pr3 0.7506 0.5000 0.2398
Pr4 0.7657 0.0000 0.7695
Ge1 0.0000 0.0000 0.5000
P1 0.0000 0.5000 0.0000
P2 0.5000 0.0000 0.0000
Cl1 0.5000 0.5000 0.5000



Record 7
## CrIn2P (GGA-PBE)

Data for CrIn2P after structural relaxation.

Results
Energy of formation = 0.024 eV/atom
SG = P4mm

Cell lengths 3.0849, 3.0849, 8.0798 Å; angles 90.00, 90.00, 90.00 degrees
Fractional positions:
Cr1 0.0000 0.0000 0.0000
In1 0.0000 0.0000 0.6002
In2 0.5000 0.5000 0.2509
P1 0.5000 0.5000 0.8830



Record 8
## NpNb2W (GGA-PBE)

Data for NpNb2W after structural relaxation.

Results
Energy of formation = 0.332 eV/atom
SG = P4/mmm

Cell lengths 4.8037, 4.8037, 3.1964 Å; angles 90.00, 90.00, 90.00 degrees
Fractional positions:
Np1 0.0000 0.0000 0.0000
Nb1 0.0000 0.5000 0.5000
Nb2 0.5000 0.0000 0.5000
W1 0.5000 0.5000 0.0000



Record 9
## BaLiMg4 (GGA-PBE)

Data for BaLiMg4 after structural relaxation.

Results
Energy of formation = -0.009 eV/atom
SG = F-43m

Cell lengths 6.2861, 6.2861, 6.2861 Å; angles 60.00, 60.00, 60.00 degrees
Fractional positions:
Ba1 0.0000 0.0000 0.0000
Li1 0.7500 0.7500 0.7500
Mg1 0.3762 0.3762 0.3762
Mg2 0.3762 0.3762 0.8715
Mg3 0.3762 0.8715 0.3762
Mg4 0.8715 0.3762 0.3762



Record 10
## NaSiPd3 (GGA-PBE)

Data for NaSiPd3 after structural relaxation.

Results
Formation energy without anion corrections = -484 meV per atom
SG = C2/m

Cell lengths 5.8908, 5.8908, 5.9624 Å; angles 105.04, 105.04, 59.68 degrees
Fractional positions:
Na1 0.0367 0.0367 0.2616
Na2 0.9633 0.9633 0.7384
Si1 0.3354 0.3354 0.0002
Si2 0.6646 0.6646 0.9998
Pd1 0.0486 0.5386 0.2917
Pd2 0.4498 0.4498 0.7048
Pd3 0.4614 0.9514 0.7083
Pd4 0.5386 0.0486 0.2917
Pd5 0.5502 0.5502 0.2952
Pd6 0.9514 0.4614 0.7083



Record 11
## LaPbCl (GGA-PBE)

Data for LaPbCl after structural relaxation.

Results
Formation energy without anion corrections = -914 meV per atom
SG = P-6m2

Cell lengths 5.0414, 5.0414, 4.1151 Å; angles 90.00, 90.00, 120.00 degrees
Fractional positions:
La1 0.0000 0.0000 0.0000
Pb1 0.6667 0.3333 0.5000
Cl1 0.3333 0.6667 0.0000



Record 12
## Y2CdIn (GGA-PBE)

Data for Y2CdIn after structural relaxation.

Results
Energy of formation = -0.042 eV/atom
SG = I-42d

Cell lengths 6.7921, 6.7921, 6.7921 Å; angles 105.19, 105.19, 118.42 degrees
Fractional positions:
Y1 0.1189 0.6250 0.9939
Y2 0.3750 0.3689 0.4939
Y3 0.6311 0.1250 0.0061
Y4 0.8750 0.8811 0.5061
Cd1 0.0000 0.0000 0.0000
Cd2 0.7500 0.2500 0.5000
In1 0.2500 0.7500 0.5000
In2 0.5000 0.5000 0.0000



Taking the records one at a time from the top gives energy values of -2.9309; -4.3067; -10.1397; -2.9772; -3.8736; -5.9814; -5.1035; -11.1764; -1.7119; -4.9484; -4.4083; -4.1876 eV per atom.